Below is a relaxed structure of Ho8Th4Sc, with properties calculated at the PBE-GGA level.

Calculated values
volume	1222	Å³ per cell
raw total energy	-5.397	eV per atom
ΔE_f	190	meV/atom
total magnetic moment	0.00	μB/f.u.

Cell lengths 7.3418, 7.3418, 26.1753 Å; angles 90.00, 90.00, 120.00 degrees
Last column: nearest neighbours and their distance in Å.
Space group R-3m (No. 166, hexagonal axes)
Unique sites:
Ho  0.0000  0.0000  0.2208  9 Ho 3.58-3.68, 3 Th 3.63
Ho  0.0366  0.5183  0.7712  1 Sc 2.86
Th  0.0000  0.0000  0.0000  6 Ho 3.32, 6 Th 3.67
Th  0.0000  0.5000  0.0000  6 Ho 3.54-3.63, 6 Th 3.67
Sc  0.0000  0.0000  0.5000  6 Ho 2.86



Below is a relaxed structure of Ho3ThSc2, with properties calculated at the PBE-GGA level.

Calculated values
volume	351	Å³ per cell
raw total energy	-5.566	eV per atom
ΔE_f	70	meV/atom
total magnetic moment	0.00	μB/f.u.

Cell lengths 8.4604, 3.5826, 11.5995 Å; angles 90.00, 91.40, 90.00 degrees
Last column: nearest neighbours and their distance in Å.
Space group P2_1/m (No. 11)
Unique sites:
Ho  0.0981  0.2500  0.2535  5 Sc 3.44-3.65, 7 Ho 3.50-3.65, 1 Th 3.57
Ho  0.1607  0.2500  0.5527  2 Th 3.36, 7 Ho 3.45-3.65, 3 Sc 3.48-3.52
Ho  0.3834  0.7500  0.0924  3 Sc 3.29-3.46, 2 Th 3.42, 6 Ho 3.45-3.58
Th  0.3228  0.7500  0.7708  4 Sc 3.24-3.36, 5 Ho 3.36-3.57, 2 Th 3.58
Sc  0.1203  0.2500  0.9468  2 Sc 3.00, 2 Th 3.24, 2 Ho 3.29
Sc  0.4283  0.7500  0.3898  4 Sc 3.33-3.58, 2 Th 3.36, 6 Ho 3.46-3.65